{"formula": "Pu6TeAs2P3", "functional": "GGA-PBE", "state": "optimized geometry", "lattice_angstrom": [[8.9737, -2.0503, 0.0000], [8.9737, 2.0503, 0.0000], [-1.9449, 0.0000, 8.0309]], "species": ["Pu", "Pu", "Pu", "Pu", "Pu", "Pu", "Te", "As", "As", "P", "P", "P"], "fractional_positions": [[0.0020, 0.0020, 0.2286], [0.3255, 0.3255, 0.4199], [0.3348, 0.3348, 0.9115], [0.6652, 0.6652, 0.0885], [0.6745, 0.6745, 0.5801], [0.9980, 0.9980, 0.7714], [0.5000, 0.5000, 0.5000], [0.1669, 0.1669, 0.8336], [0.8331, 0.8331, 0.1664], [0.1644, 0.1644, 0.3331], [0.5000, 0.5000, 0.0000], [0.8356, 0.8356, 0.6669]], "dos_ef_per_ev_fu": 62.2, "space_group": "C2/m, No. 12", "formation_energy_uncorrected_ev_per_atom": -1.056}